YZnInS3 | OQMD via LeMat-Bulk | PBE | optimized geometry; energy above the lowest structure with this stoichiometry = 0.0000 eV per atom; space group = No. 63
1.0
1.9778 -7.0256 0.0000
1.9778 7.0256 0.0000
0.0000 0.0000 10.5626
Y Zn In S
2 2 2 6
Cartesian
0.0000 0.0000 0.0000 Y
0.0000 0.0000 5.2813 Y
1.9778 0.5575 7.9220 Zn
1.9778 -0.5575 2.6407 Zn
1.9778 3.4659 2.6407 In
1.9778 -3.4659 7.9220 In
1.9778 6.1539 7.9220 S
1.9778 1.7884 5.9519 S
1.9778 1.7884 9.8920 S
1.9778 -1.7884 0.6706 S
1.9778 -1.7884 4.6107 S
1.9778 -6.1539 2.6407 S